Computed, not measured: an optimized crystal structure of TcPtPb2 at the PBE-GGA level of DFT.

a b c (Å): 3.4881 3.4993 6.4840
angles (deg): 90.00 90.00 90.00
Last column: nearest neighbours and their distance in Å.
Fractional positions:
Tc1 0.0000 0.0000 0.0000  8 Pb 2.93, 2 Pt 3.24
Pt1 0.0000 0.0000 0.5000  8 Pb 2.98, 2 Tc 3.24
Pb1 0.5000 0.5000 0.2435  4 Tc 2.93, 4 Pt 2.98, 1 Pb 3.16
Pb2 0.5000 0.5000 0.7565  4 Tc 2.93, 4 Pt 2.98, 1 Pb 3.16

Space group: No. 47
Energy of formation from the pure elements: 0.404 eV per atom
VASP energy: -5.551 eV/atom
Excess energy over the best structure of this formula in the dataset: 0.1761 eV per atom

=====

Computed, not measured: an optimized crystal structure of Tc2PtPb at the PBE-GGA level of DFT.

a b c (Å): 9.6074 9.6074 9.6074
angles (deg): 17.55 17.55 17.55
Last column: nearest neighbours and their distance in Å.
Fractional positions:
Tc1 0.0000 0.0000 0.0000  9 Tc 2.62-2.93
Tc2 0.2628 0.2628 0.2628  9 Tc 2.62-2.93, 3 Pt 2.80
Pt1 0.5172 0.5172 0.5172  3 Tc 2.80, 6 Pt 2.93, 3 Pb 3.11
Pb1 0.7585 0.7585 0.7585  6 Pb 2.93, 3 Tc 3.11, 3 Pt 3.11

Space group: No. 160
Energy of formation from the pure elements: 0.348 eV per atom
VASP energy: -7.272 eV/atom
Excess energy over the best structure of this formula in the dataset: 0.1068 eV per atom

=====

Computed, not measured: an optimized crystal structure of TcPt2Pb at the PBE-GGA level of DFT.

a b c (Å): 9.4978 9.4978 9.4978
angles (deg): 18.02 18.02 18.02
Last column: nearest neighbours and their distance in Å.
Fractional positions:
Tc1 0.0000 0.0000 0.0000  3 Pt 2.65
Pt1 0.4865 0.4865 0.4865  9 Pt 2.85-2.97, 3 Pb 3.05
Pt2 0.7387 0.7387 0.7387  3 Tc 2.65, 3 Pt 2.85
Pb1 0.2430 0.2430 0.2430  6 Pb 2.97, 3 Pt 3.05, 3 Tc 3.06

Space group: No. 160
Energy of formation from the pure elements: 0.366 eV per atom
VASP energy: -6.173 eV/atom
Excess energy over the best structure of this formula in the dataset: 0.2597 eV per atom

=====

Computed, not measured: an optimized crystal structure of TcPt2Pb at the PBE-GGA level of DFT.

a b c (Å): 2.9191 2.9191 8.5742
angles (deg): 90.00 90.00 90.00
Last column: nearest neighbours and their distance in Å.
Fractional positions:
Tc1 0.0000 0.0000 0.0000  8 Pt 2.72, 4 Tc 2.92
Pt1 0.5000 0.5000 0.2073  4 Tc 2.72, 4 Pt 2.92
Pt2 0.5000 0.5000 0.7927  4 Tc 2.72, 4 Pt 2.92
Pb1 0.0000 0.0000 0.5000  4 Pb 2.92, 8 Pt 3.25

Space group: No. 123
Energy of formation from the pure elements: 0.106 eV per atom
VASP energy: -6.433 eV/atom
Excess energy over the best structure of this formula in the dataset: 0.0000 eV per atom

=====

Computed, not measured: an optimized crystal structure of Tc2PtPb at the PBE-GGA level of DFT.

a b c (Å): 4.5622 4.5622 4.5622
angles (deg): 60.00 60.00 60.00
Last column: nearest neighbours and their distance in Å.
Fractional positions:
Tc1 0.2500 0.2500 0.2500  4 Pb 2.79, 4 Pt 2.79
Tc2 0.7500 0.7500 0.7500  4 Pb 2.79, 4 Pt 2.79
Pt1 0.0000 0.0000 0.0000  8 Tc 2.79
Pb1 0.5000 0.5000 0.5000  8 Tc 2.79

Space group: No. 225
Energy of formation from the pure elements: 0.437 eV per atom
VASP energy: -7.183 eV/atom
Excess energy over the best structure of this formula in the dataset: 0.1954 eV per atom

=====

Computed, not measured: an optimized crystal structure of TcPtPb2 at the PBE-GGA level of DFT.

a b c (Å): 8.9326 8.9326 8.9326
angles (deg): 21.22 21.22 21.22
Last column: nearest neighbours and their distance in Å.
Fractional positions:
Tc1 0.0000 0.0000 0.0000  6 Pb 2.85
Pt1 0.5000 0.5000 0.5000  6 Pb 2.93
Pb1 0.2521 0.2521 0.2521  3 Tc 2.85, 3 Pt 2.93
Pb2 0.7479 0.7479 0.7479  3 Tc 2.85, 3 Pt 2.93

Space group: No. 166
Energy of formation from the pure elements: 0.510 eV per atom
VASP energy: -5.446 eV/atom
Excess energy over the best structure of this formula in the dataset: 0.2815 eV per atom